(1)
Crystalline TlIn2As at its relaxed geometry, computed with PBE. Values from VASP.

Calculated values
* volume: 26.2 Å³/atom
* crystal system: orthorhombic
* space group: Cmmm (65)
* formation energy: 0.1312 eV/atom

Geometry as Quantum ESPRESSO input:
```
&SYSTEM
  ibrav = 0, nat = 4, ntyp = 3
/
ATOMIC_SPECIES
As 74.92 As.upf
Tl 204.38 Tl.upf
In 114.82 In.upf
CELL_PARAMETERS angstrom
-1.2565 5.1916 2.7122
-1.9894 -4.9599 2.7072
2.7859 -0.2019 1.6772
ATOMIC_POSITIONS crystal
As 0.0000 0.5000 0.5000
Tl 0.5000 0.0000 0.5000
In 0.0000 0.0000 0.0000
In 0.5000 0.5000 0.0000
```

=====

(2)
Crystalline Tl2InAs at its relaxed geometry, computed with PBE. Values from VASP.

Calculated values
* volume: 29.6 Å³/atom
* crystal system: orthorhombic
* space group: Immm (71)
* formation energy: 0.0388 eV/atom

Geometry as Quantum ESPRESSO input:
```
&SYSTEM
  ibrav = 0, nat = 4, ntyp = 3
/
ATOMIC_SPECIES
Tl 204.38 Tl.upf
In 114.82 In.upf
As 74.92 As.upf
CELL_PARAMETERS angstrom
7.6810 0.1465 -0.0111
5.4116 5.4529 0.0111
-6.4961 -2.9170 2.8829
ATOMIC_POSITIONS crystal
Tl 0.9305 0.9305 0.0000
In 0.2500 0.7500 0.5000
As 0.7500 0.2500 0.5000
Tl 0.5695 0.5695 0.0000
```

=====

(3)
Crystalline TlIn3As at its relaxed geometry, computed with PBE. Values from VASP.

Calculated values
* volume: 32.5 Å³/atom
* crystal system: cubic
* space group: Pm-3m (221)
* formation energy: 0.2817 eV/atom

Geometry as Quantum ESPRESSO input:
```
&SYSTEM
  ibrav = 0, nat = 5, ntyp = 3
/
ATOMIC_SPECIES
In 114.82 In.upf
As 74.92 As.upf
Tl 204.38 Tl.upf
CELL_PARAMETERS angstrom
-5.3346 1.1359 0.0216
-1.1300 -5.2941 -0.6665
-0.1178 -0.6563 5.4133
ATOMIC_POSITIONS crystal
In 0.0000 0.0000 0.5000
In 0.5000 0.0000 0.0000
As 0.0000 0.0000 0.0000
In 0.0000 0.5000 0.0000
Tl 0.5000 0.5000 0.5000
```

=====

(4)
Crystalline TlIn2As at its relaxed geometry, computed with PBE. Values from VASP.

Calculated values
* volume: 26.9 Å³/atom
* crystal system: cubic
* space group: F-43m (216)
* formation energy: 0.1464 eV/atom

Geometry as Quantum ESPRESSO input:
```
&SYSTEM
  ibrav = 0, nat = 4, ntyp = 3
/
ATOMIC_SPECIES
In 114.82 In.upf
As 74.92 As.upf
Tl 204.38 Tl.upf
CELL_PARAMETERS angstrom
-3.6191 -0.3663 3.9105
-5.1743 -0.5687 -1.1948
-2.4612 -4.6469 0.9339
ATOMIC_POSITIONS crystal
In 0.0000 0.0000 0.0000
As 0.5000 0.5000 0.5000
In 0.2500 0.2500 0.2500
Tl 0.7500 0.7500 0.7500
```

=====

(5)
Crystalline TlInAs4 at its relaxed geometry, computed with PBE. Values from VASP.

Calculated values
* volume: 24.9 Å³/atom
* crystal system: cubic
* space group: F-43m (216)
* formation energy: 0.1905 eV/atom

Geometry as Quantum ESPRESSO input:
```
&SYSTEM
  ibrav = 0, nat = 6, ntyp = 3
/
ATOMIC_SPECIES
As 74.92 As.upf
Tl 204.38 Tl.upf
In 114.82 In.upf
CELL_PARAMETERS angstrom
0.0000 4.2097 4.2097
4.2097 0.0000 4.2097
4.2097 4.2097 0.0000
ATOMIC_POSITIONS crystal
As 0.8369 0.3877 0.3877
Tl 0.0000 0.0000 0.0000
As 0.3877 0.3877 0.8369
In 0.7500 0.7500 0.7500
As 0.3877 0.8369 0.3877
As 0.3877 0.3877 0.3877
```

=====

(6)
Crystalline TlInAs2 at its relaxed geometry, computed with PBE. Values from VASP.

Calculated values
* volume: 25.4 Å³/atom
* crystal system: orthorhombic
* space group: Cmm2 (35)
* formation energy: 0.2286 eV/atom

Geometry as Quantum ESPRESSO input:
```
&SYSTEM
  ibrav = 0, nat = 4, ntyp = 3
/
ATOMIC_SPECIES
As 74.92 As.upf
In 114.82 In.upf
Tl 204.38 Tl.upf
CELL_PARAMETERS angstrom
-1.5144 2.7457 -1.2071
-1.4266 -1.4030 2.6993
5.6535 5.7443 5.9736
ATOMIC_POSITIONS crystal
As 0.5000 0.5000 0.2201
In 0.0000 0.0000 0.4744
Tl 0.5000 0.5000 0.7653
As 0.0000 0.0000 0.0402
```

=====

(7)
Crystalline Tl2InAs at its relaxed geometry, computed with PBE. Values from VASP.

Calculated values
* volume: 28.3 Å³/atom
* crystal system: monoclinic
* space group: Cm (8)
* formation energy: 0.0448 eV/atom

Geometry as Quantum ESPRESSO input:
```
&SYSTEM
  ibrav = 0, nat = 4, ntyp = 3
/
ATOMIC_SPECIES
Tl 204.38 Tl.upf
In 114.82 In.upf
As 74.92 As.upf
CELL_PARAMETERS angstrom
6.3636 -0.2951 -0.0437
5.3054 3.5264 -0.0437
2.1842 0.6048 4.7004
ATOMIC_POSITIONS crystal
Tl 0.0111 0.0111 0.9894
In 0.7961 0.7961 0.7054
Tl 0.2176 0.2176 0.2829
As 0.4752 0.4752 0.5223
```

=====

(8)
Crystalline UInAs2 at its relaxed geometry, computed with PBE. Values from VASP.

Calculated values
* volume: 25.1 Å³/atom
* crystal system: trigonal
* space group: R-3m (166)
* formation energy: -0.2317 eV/atom

Geometry as Quantum ESPRESSO input:
```
&SYSTEM
  ibrav = 0, nat = 4, ntyp = 3
/
ATOMIC_SPECIES
U 238.03 U.upf
In 114.82 In.upf
As 74.92 As.upf
CELL_PARAMETERS angstrom
4.0923 0.0000 0.0000
2.0462 3.5440 0.0000
2.0462 1.1813 6.9282
ATOMIC_POSITIONS crystal
U 0.0000 0.0000 0.0000
In 0.5000 0.5000 0.5000
As 0.7464 0.7464 0.7607
As 0.2536 0.2536 0.2393
```

=====

Asked for raw total energy across the records above, the calculation gives -11.97; -11.97; -13.82; -11.91; -22.56; -13.49; -11.94; -24.25 eV per cell in order.